1.
HfTc2HPt: optimized geometry, PBE.

Summary:
Energy relative to the lowest polymorph listed for this composition in meV per atom: 0
Symmetry: P4/mmm
Total magnetic moment in μB per formula unit: 0.000
Crystal system: tetragonal
Energy in eV/atom: -8.385

```
HfTc2HPt
1.0
-1.069 -1.138 -3.630
2.263 -3.221 0.344
-3.283 -2.132 1.635
Tc H Pt Hf
2 1 1 1
Direct
0.500 0.000 0.000
0.000 0.500 0.000
0.000 0.000 0.000
0.500 0.500 0.500
0.000 0.000 0.500
```

2.
Pb2SI: optimized geometry, PBE.

Summary:
Energy relative to the lowest polymorph listed for this composition in meV per atom: 182
Symmetry: I-42d
Total magnetic moment in μB per formula unit: 0.000
Crystal system: tetragonal
Energy in eV/atom: -3.463
Formation energy from raw total energies in eV/atom: -0.189

```
Pb2SI
1.0
-4.542 4.088 2.182
1.518 -1.574 6.109
3.947 7.225 4.327
Pb I S
4 2 2
Direct
0.875 0.795 0.750
0.545 0.125 0.250
0.205 0.625 0.250
0.375 0.455 0.750
0.750 0.250 0.500
0.000 0.000 0.000
0.250 0.750 0.500
0.500 0.500 0.000
```

3.
NaPm2Os: optimized geometry, PBE.

Summary:
Energy relative to the lowest polymorph listed for this composition in meV per atom: 141
Symmetry: Fm-3m
DFT formation energy in eV/atom: 0.112
Total magnetic moment in μB per formula unit: 0.000
Crystal system: cubic
Energy in eV/atom: -5.401

```
NaPm2Os
1.0
-4.470 2.516 0.082
-3.422 -0.728 -3.752
-4.355 -2.538 0.957
Os Na Pm
1 1 2
Direct
0.000 0.000 0.000
0.500 0.500 0.500
0.750 0.750 0.750
0.250 0.250 0.250
```

Among the records above, which one has the highest energy?
Pb2SI

energy relative to the lowest polymorph listed for this composition of number 3 (NaPm2Os)?
141 meV per atom

Look up the energy of the third one.
-5.401 eV/atom